Density functional theory data (PBE) for a geometry-optimized Ga3TcAg structure.

a b c (Å): 4.808 4.808 4.808
angles (deg): 90.00 90.00 90.00
Element x y z (fractional)
Ga 0.000 0.000 0.500
Ga 0.000 0.500 0.000
Ga 0.500 0.000 0.000
Tc 0.000 0.000 0.000
Ag 0.500 0.500 0.500

Summary:
- Density: 6.20 g/cm³
- Energy above the lowest structure with this stoichiometry: 0 meV per atom
- Size of the total moment: 0.0 Bohr magnetons per cell
- E: -4.166 eV/atom
- Formation energy: 0.29 eV/atom